Below is crystalline HfCr2Ga2 at its relaxed geometry, with properties calculated at the PBE-GGA level.

Properties
- M_tot: 0.0 μB/cell
- Energy of formation: 0.0848 eV/atom
- Final energy: -6.966 eV/atom

Unit cell a=4.1047 b=4.1047 c=5.5842 alpha=68.44 beta=68.44 gamma=90.00
Last column: nearest neighbours and their distance in Å.
Element x y z (fractional)
Ga1 0.2500 0.7500 0.5000  4 Cr 2.52
Ga2 0.7500 0.2500 0.5000  4 Cr 2.52
Cr1 0.5976 0.5976 0.8049  1 Cr 1.86
Cr2 0.4024 0.4024 0.1951  1 Cr 1.86
Hf1 0.0000 0.0000 0.0000  8 Cr 3.05, 8 Ga 3.15

***

Below is crystalline MgWBr at its relaxed geometry, with properties calculated at the PBE-GGA level.

Properties
- M_tot: 4.2 μB/cell
- E_form (uncorrected): 1.7287 eV per atom
- Final energy: -3.678 eV/atom

Unit cell a=4.8723 b=4.8723 c=4.8723 alpha=60.00 beta=60.00 gamma=60.00
Last column: nearest neighbours and their distance in Å.
Element x y z (fractional)
Mg1 0.7500 0.7500 0.7500  4 Br 2.98, 4 W 2.98
W1 0.0000 0.0000 0.0000  4 Mg 2.98
Br1 0.5000 0.5000 0.5000  4 Mg 2.98